## Dy3TlNi (PBE)

Data for a geometry-optimized Dy3TlNi structure.

Cell lengths 5.1952, 5.1952, 5.1952 Å; angles 90.00, 90.00, 90.00 degrees
Last column: nearest neighbours and their distance in Å.
Space group Pm-3m (No. 221)
Asymmetric unit:
1 Dy 0.0000 0.0000 0.5000  2 Ni 2.60
2 Tl 0.5000 0.5000 0.5000  12 Dy 3.67
3 Ni 0.0000 0.0000 0.0000  6 Dy 2.60

Computed properties:
ΔH_f (0 K) (meV/atom): -176
Energy above the lowest structure with this stoichiometry (meV/atom): 131
Magnetic moment (μB/f.u.): 0.0
Uncorrected energy (eV/atom): -4.5665
Fermi-level density of states (states/eV/atom): 1.32